## KSeS2 (GGA-PBE)

Data for an optimized crystal structure of KSeS2.

Values from the calculation:
The value obtained for the uncorrected formation energy is -217 meV per atom. The value obtained for the energy is -3.426 eV/atom.

The structure in CIF format:
```
data_KSeS2
_chemical_formula_sum 'K4 Se4 S8'
_cell_length_a 6.3399
_cell_length_b 6.3399
_cell_length_c 13.2193
_cell_angle_alpha 90.00
_cell_angle_beta 90.00
_cell_angle_gamma 90.00
_space_group_name_H-M_alt 'I -4 2 d'
_space_group_IT_number 122
_space_group_name_Hall 'I -4 2bw'
loop_
_atom_site_label
_atom_site_type_symbol
_atom_site_fract_x
_atom_site_fract_y
_atom_site_fract_z
_atom_site_occupancy
K1 K 0.0000 0.0000 0.0000 1
Se1 Se 0.0000 0.0000 0.5000 1
S1 S 0.1381 0.2500 0.6250 1
```


## K2SeS2 (GGA-PBE)

Data for an optimized crystal structure of K2SeS2.

Values from the calculation:
The value obtained for the distance to the lowest polymorph of the same formula is 62 meV per atom. The value obtained for the uncorrected formation energy is -712 meV per atom. The value obtained for the energy is -3.499 eV/atom.

The structure in CIF format:
```
data_K2SeS2
_chemical_formula_sum 'K8 Se4 S8'
_cell_length_a 4.8635
_cell_length_b 18.7594
_cell_length_c 6.5220
_cell_angle_alpha 90.00
_cell_angle_beta 90.00
_cell_angle_gamma 90.00
_space_group_name_H-M_alt 'C m c 21'
_space_group_IT_number 36
loop_
_space_group_symop_operation_xyz
'x,y,z'
'-x,-y,z+1/2'
'-x,y,z'
'x,-y,z+1/2'
'x+1/2,y+1/2,z'
'-x+1/2,-y+1/2,z+1/2'
'-x+1/2,y+1/2,z'
'x+1/2,-y+1/2,z+1/2'
loop_
_atom_site_label
_atom_site_type_symbol
_atom_site_fract_x
_atom_site_fract_y
_atom_site_fract_z
_atom_site_occupancy
K1 K 0.0000 0.0142 0.0000 1
K2 K 0.0000 0.2060 0.7754 1
Se1 Se 0.0000 0.3815 0.8539 1
S1 S 0.0000 0.1524 0.3018 1
S2 S 0.0000 0.4081 0.1915 1
```


## K3SeS3 (GGA-PBE)

Data for an optimized crystal structure of K3SeS3.

Values from the calculation:
The value obtained for the uncorrected formation energy is -705 meV per atom. The value obtained for the energy is -3.442 eV/atom.

The structure in CIF format:
```
data_K3SeS3
_chemical_formula_sum 'K6 Se2 S6'
_cell_length_a 9.3489
_cell_length_b 9.3489
_cell_length_c 6.4627
_cell_angle_alpha 90.00
_cell_angle_beta 90.00
_cell_angle_gamma 120.00
_space_group_name_H-M_alt 'P 63/m'
_space_group_IT_number 176
_space_group_name_Hall '-P 6c'
loop_
_atom_site_label
_atom_site_type_symbol
_atom_site_fract_x
_atom_site_fract_y
_atom_site_fract_z
_atom_site_occupancy
K1 K 0.0785 0.7109 0.2500 1
Se1 Se 0.3333 0.6667 0.7500 1
S1 S 0.0913 0.6952 0.7500 1
```


## K3SeS (GGA-PBE)

Data for an optimized crystal structure of K3SeS.

Values from the calculation:
The value obtained for the distance to the lowest polymorph of the same formula is 295 meV per atom. The value obtained for the uncorrected formation energy is -724 meV per atom. The value obtained for the energy is -2.905 eV/atom.

The structure in CIF format:
```
data_K3SeS
_chemical_formula_sum 'K3 Se1 S1'
_cell_length_a 5.9555
_cell_length_b 5.9555
_cell_length_c 5.9555
_cell_angle_alpha 90.00
_cell_angle_beta 90.00
_cell_angle_gamma 90.00
_space_group_name_H-M_alt 'P m -3 m'
_space_group_IT_number 221
_space_group_name_Hall '-P 4 2 3'
loop_
_atom_site_label
_atom_site_type_symbol
_atom_site_fract_x
_atom_site_fract_y
_atom_site_fract_z
_atom_site_occupancy
K1 K 0.0000 0.0000 0.5000 1
Se1 Se 0.5000 0.5000 0.5000 1
S1 S 0.0000 0.0000 0.0000 1
```


## K2SeS (GGA-PBE)

Data for an optimized crystal structure of K2SeS.

Values from the calculation:
The value obtained for the distance to the lowest polymorph of the same formula is 0 meV per atom. The value obtained for the uncorrected formation energy is -890 meV per atom. The value obtained for the energy is -3.342 eV/atom.

The structure in CIF format:
```
data_K2SeS
_chemical_formula_sum 'K8 Se4 S4'
_cell_length_a 4.5593
_cell_length_b 13.1547
_cell_length_c 8.5106
_cell_angle_alpha 90.00
_cell_angle_beta 90.00
_cell_angle_gamma 90.00
_space_group_name_H-M_alt 'C m c m'
_space_group_IT_number 63
_space_group_name_Hall '-C 2c 2'
loop_
_atom_site_label
_atom_site_type_symbol
_atom_site_fract_x
_atom_site_fract_y
_atom_site_fract_z
_atom_site_occupancy
K1 K 0.0000 0.1271 0.0054 1
Se1 Se 0.0000 0.4883 0.7500 1
S1 S 0.0000 0.3136 0.7500 1
```


## K2SeS3 (GGA-PBE)

Data for an optimized crystal structure of K2SeS3.

Values from the calculation:
The value obtained for the distance to the lowest polymorph of the same formula is 0 meV per atom. The value obtained for the uncorrected formation energy is -623 meV per atom. The value obtained for the energy is -3.633 eV/atom.

The structure in CIF format:
```
data_K2SeS3
_chemical_formula_sum 'K8 Se4 S12'
_cell_length_a 11.4819
_cell_length_b 6.2571
_cell_length_c 10.8333
_cell_angle_alpha 90.00
_cell_angle_beta 120.04
_cell_angle_gamma 90.00
_space_group_name_H-M_alt 'C 1 2/c 1'
_space_group_IT_number 15
loop_
_space_group_symop_operation_xyz
'x,y,z'
'-x,-y,-z'
'-x,y,-z+1/2'
'x,-y,z+1/2'
'x+1/2,y+1/2,z'
'-x+1/2,-y+1/2,-z'
'-x+1/2,y+1/2,-z+1/2'
'x+1/2,-y+1/2,z+1/2'
loop_
_atom_site_label
_atom_site_type_symbol
_atom_site_fract_x
_atom_site_fract_y
_atom_site_fract_z
_atom_site_occupancy
K1 K 0.1701 0.1602 0.1103 1
Se1 Se 0.0000 0.4321 0.2500 1
S1 S 0.0000 0.2131 0.7500 1
S2 S 0.1754 0.3236 0.5128 1
```


## K3Se2S2 (GGA-PBE)

Data for an optimized crystal structure of K3Se2S2.

Values from the calculation:
The value obtained for the uncorrected formation energy is -599 meV per atom. The value obtained for the energy is -3.245 eV/atom.

The structure in CIF format:
```
data_K3Se2S2
_chemical_formula_sum 'K6 Se4 S4'
_cell_length_a 4.4648
_cell_length_b 4.7374
_cell_length_c 19.8636
_cell_angle_alpha 90.00
_cell_angle_beta 90.00
_cell_angle_gamma 90.00
_space_group_name_H-M_alt 'I m m m'
_space_group_IT_number 71
_space_group_name_Hall '-I 2 2'
loop_
_atom_site_label
_atom_site_type_symbol
_atom_site_fract_x
_atom_site_fract_y
_atom_site_fract_z
_atom_site_occupancy
K1 K 0.0000 0.0000 0.0000 1
K2 K 0.0000 0.5000 0.3167 1
Se1 Se 0.0000 0.0000 0.4403 1
S1 S 0.0000 0.5000 0.1516 1
```


## K2SeS3 (GGA-PBE)

Data for an optimized crystal structure of K2SeS3.

Values from the calculation:
The value obtained for the distance to the lowest polymorph of the same formula is 21 meV per atom. The value obtained for the uncorrected formation energy is -602 meV per atom. The value obtained for the energy is -3.613 eV/atom.

The structure in CIF format:
```
data_K2SeS3
_chemical_formula_sum 'K4 Se2 S6'
_cell_length_a 7.4604
_cell_length_b 7.4604
_cell_length_c 8.7254
_cell_angle_alpha 90.00
_cell_angle_beta 90.00
_cell_angle_gamma 120.00
_space_group_name_H-M_alt 'P -3 m 1'
_space_group_IT_number 164
_space_group_name_Hall '-P 3 2"'
loop_
_atom_site_label
_atom_site_type_symbol
_atom_site_fract_x
_atom_site_fract_y
_atom_site_fract_z
_atom_site_occupancy
K1 K 0.0000 0.0000 0.0000 1
K2 K 0.0000 0.0000 0.5000 1
K3 K 0.3333 0.6667 0.1163 1
Se1 Se 0.3333 0.6667 0.6717 1
S1 S 0.1777 0.3554 0.7718 1
```


## K3Se2S4 (GGA-PBE)

Data for an optimized crystal structure of K3Se2S4.

Values from the calculation:
The value obtained for the uncorrected formation energy is -615 meV per atom. The value obtained for the energy is -3.589 eV/atom.

The structure in CIF format:
```
data_K3Se2S4
_chemical_formula_sum 'K12 Se8 S16'
_cell_length_a 15.4864
_cell_length_b 11.3704
_cell_length_c 6.4911
_cell_angle_alpha 90.00
_cell_angle_beta 93.83
_cell_angle_gamma 90.00
_space_group_name_H-M_alt 'C 1 2/c 1'
_space_group_IT_number 15
loop_
_space_group_symop_operation_xyz
'x,y,z'
'-x,-y,-z'
'-x,y,-z+1/2'
'x,-y,z+1/2'
'x+1/2,y+1/2,z'
'-x+1/2,-y+1/2,-z'
'-x+1/2,y+1/2,-z+1/2'
'x+1/2,-y+1/2,z+1/2'
loop_
_atom_site_label
_atom_site_type_symbol
_atom_site_fract_x
_atom_site_fract_y
_atom_site_fract_z
_atom_site_occupancy
K1 K 0.0000 0.1039 0.2500 1
K2 K 0.1361 0.3790 0.0098 1
Se1 Se 0.1649 0.1848 0.5741 1
S1 S 0.0817 0.3405 0.5065 1
S2 S 0.1502 0.1083 0.8822 1
```


## K2SeS5 (GGA-PBE)

Data for an optimized crystal structure of K2SeS5.

Values from the calculation:
The value obtained for the uncorrected formation energy is -456 meV per atom. The value obtained for the energy is -3.745 eV/atom.

The structure in CIF format:
```
data_K2SeS5
_chemical_formula_sum 'K2 Se1 S5'
_cell_length_a 6.6256
_cell_length_b 6.6971
_cell_length_c 7.2787
_cell_angle_alpha 68.00
_cell_angle_beta 63.69
_cell_angle_gamma 87.37
_space_group_name_H-M_alt 'P 1'
_space_group_IT_number 1
loop_
_space_group_symop_operation_xyz
'x,y,z'
loop_
_atom_site_label
_atom_site_type_symbol
_atom_site_fract_x
_atom_site_fract_y
_atom_site_fract_z
_atom_site_occupancy
K1 K 0.0000 0.0000 0.0000 1
K2 K 0.4557 0.4676 0.0763 1
Se1 Se 0.7455 0.0617 0.6129 1
S1 S 0.2798 0.9887 0.5036 1
S2 S 0.5214 0.0266 0.9521 1
S3 S 0.5510 0.8526 0.5189 1
S4 S 0.7233 0.4114 0.4108 1
S5 S 0.9451 0.4744 0.0873 1
```